Below is an optimized crystal structure of Rb2OsPb2O6, with properties calculated at the GGA-PBE level.

POSCAR file:
```
Rb2OsPb2O6
1.0
3.148 -5.138 0.000
3.148 5.138 0.000
-1.963 0.000 6.513
Rb Os Pb O
2 1 2 6
direct
0.173 0.827 0.000
0.827 0.173 0.000
0.000 0.000 0.500
0.336 0.664 0.500
0.664 0.336 0.500
0.048 0.328 0.666
0.197 0.197 0.324
0.328 0.048 0.666
0.672 0.952 0.334
0.803 0.803 0.676
0.952 0.672 0.334
```

## Properties
- Formation energy (no corrections): -1.196 eV per atom
- DOS at the Fermi energy: 3.6 states/eV/cell